A plane-wave DFT calculation with PBE was carried out for a relaxed Rb2LaHF6 crystal.

Computed properties:
Electronic total energy, eV per formula unit: -48.93
Space group: No. 139

```
Rb2LaHF6
1.0
-5.090 1.980 -1.548
-2.480 -4.521 2.373
-4.178 1.451 5.186
H F Rb La
1 6 2 1
direct
0.500 0.500 0.000
0.212 0.212 0.577
0.788 0.788 0.423
0.288 0.288 0.000
0.712 0.712 0.000
0.712 0.288 0.000
0.288 0.712 0.000
0.750 0.250 0.500
0.250 0.750 0.500
0.000 0.000 0.000
```